Entry 1:
{
  "formula": "AgHPd3",
  "functional": "PBE",
  "state": "relaxed",
  "cell": [[-6.949, 18.999, -7.845], [-0.542, -1.739, -3.731], [-0.414, -7.263, 3.445]],
  "species": ["Pd", "Pd", "Pd", "Pd", "H", "Ag", "H", "Pd", "Pd", "Pd", "H", "Pd", "Ag", "Pd", "Ag", "Pd", "H", "Pd", "Ag", "Pd"],
  "frac_coords": [[0.629, 0.500, 0.688], [0.371, 0.500, 0.312], [0.871, 0.000, 0.812], [0.370, 0.000, 0.043], [0.500, 0.749, 0.500], [0.874, 0.000, 0.308], [0.000, 0.751, 0.000], [0.630, 0.000, 0.957], [0.874, 0.500, 0.062], [0.130, 0.500, 0.457], [0.000, 0.249, 0.000], [0.374, 0.000, 0.562], [0.626, 0.500, 0.192], [0.129, 0.000, 0.188], [0.374, 0.500, 0.808], [0.626, 0.000, 0.438], [0.500, 0.251, 0.500], [0.870, 0.500, 0.543], [0.126, 0.000, 0.692], [0.126, 0.500, 0.938]],
  "n_ef_per_ev_cell": 6.68,
  "total_energy_ev_per_atom": -4.412,
  "sg": "No. 12"
}

---

Entry 2:
{
  "formula": "LiTlTe3As",
  "functional": "PBE",
  "state": "relaxed",
  "cell": [[-2.554, -1.053, -3.468], [-5.452, -4.826, 5.481], [-1.870, 10.143, -1.703]],
  "species": ["Te", "Te", "Te", "Li", "Tl", "As", "Te", "As", "Te", "Li", "Tl", "Te"],
  "frac_coords": [[0.250, 0.783, 0.502], [0.250, 0.086, 0.839], [0.250, 0.528, 0.850], [0.250, 0.128, 0.589], [0.250, 0.240, 0.249], [0.750, 0.317, 0.836], [0.750, 0.217, 0.498], [0.250, 0.683, 0.164], [0.750, 0.472, 0.150], [0.750, 0.872, 0.411], [0.750, 0.760, 0.751], [0.750, 0.914, 0.161]],
  "n_ef_per_ev_cell": 2.73,
  "total_energy_ev_per_atom": -3.306,
  "sg": "No. 11",
  "raw_formation_energy_kj_per_mol_fu": -143
}

---

Entry 3:
{
  "formula": "BaSmBr5",
  "functional": "PBE",
  "state": "relaxed",
  "cell": [[5.698, -0.060, 1.620], [0.506, 7.316, 0.144], [0.023, -0.030, 10.748]],
  "species": ["Br", "Br", "Br", "Br", "Br", "Br", "Sm", "Br", "Ba", "Br", "Ba", "Br", "Br", "Sm"],
  "frac_coords": [[0.278, 0.902, 0.934], [0.195, 0.503, 0.621], [0.805, 0.497, 0.379], [0.212, 0.402, 0.066], [0.816, 0.003, 0.379], [0.722, 0.098, 0.066], [0.077, 0.250, 0.846], [0.372, 0.750, 0.256], [0.673, 0.750, 0.654], [0.184, 0.997, 0.621], [0.327, 0.250, 0.346], [0.788, 0.598, 0.934], [0.628, 0.250, 0.744], [0.923, 0.750, 0.154]],
  "n_ef_per_ev_cell": 0.00,
  "total_energy_ev_per_atom": -4.129,
  "sg": "No. 15",
  "raw_formation_energy_kj_per_mol_fu": -1341
}